Entry 1:
# SiAsSe4 PBE relaxed
data_SiAsSe4
_chemical_formula_sum 'Si4 As4 Se16'
_space_group_name_H-M_alt 'C 1 2/c 1'
_space_group_IT_number 15
_cell_length_a 6.9786
_cell_length_b 14.4402
_cell_length_c 8.0001
_cell_angle_alpha 90.00
_cell_angle_beta 90.05
_cell_angle_gamma 90.00
loop_
_space_group_symop_operation_xyz
'x,y,z'
'-x,-y,-z'
'-x,y,-z+1/2'
'x,-y,z+1/2'
'x+1/2,y+1/2,z'
'-x+1/2,-y+1/2,-z'
'-x+1/2,y+1/2,-z+1/2'
'x+1/2,-y+1/2,z+1/2'
loop_
_atom_site_label
_atom_site_fract_x
_atom_site_fract_y
_atom_site_fract_z
_atom_site_occupancy
Si1 0.0000 0.1908 0.2500 1
As1 0.0000 0.3001 0.7500 1
Se1 0.1143 0.3088 0.4122 1
Se2 0.2429 0.0891 0.1875 1
# ρ (g/cm³): 3.45
# E (eV/atom): -4.157
# E_form (uncorrected) (meV per atom): -155

---

Entry 2:
# ZrV3Ag PBE relaxed
data_ZrV3Ag
_chemical_formula_sum 'Zr1 V3 Ag1'
_space_group_name_H-M_alt 'P m -3 m'
_space_group_IT_number 221
_space_group_name_Hall '-P 4 2 3'
_cell_length_a 4.7838
_cell_length_b 4.7838
_cell_length_c 4.7838
_cell_angle_alpha 90.00
_cell_angle_beta 90.00
_cell_angle_gamma 90.00
loop_
_atom_site_label
_atom_site_fract_x
_atom_site_fract_y
_atom_site_fract_z
_atom_site_occupancy
Zr1 0.0000 0.0000 0.0000 1
V1 0.0000 0.5000 0.5000 1
Ag1 0.5000 0.5000 0.5000 1
# ρ (g/cm³): 5.34
# E (eV/atom): -6.211
# Energy of formation from the pure elements (eV per atom): 1.5403

---

Entry 3:
# Sm12Tl5Cd2 PBE relaxed
data_Sm12Tl5Cd2
_chemical_formula_sum 'Sm24 Tl10 Cd4'
_space_group_name_H-M_alt 'C 1 2/m 1'
_space_group_IT_number 12
_cell_length_a 17.3270
_cell_length_b 7.5124
_cell_length_c 9.3042
_cell_angle_alpha 90.00
_cell_angle_beta 97.31
_cell_angle_gamma 90.00
loop_
_space_group_symop_operation_xyz
'x,y,z'
'-x,-y,-z'
'-x,y,-z'
'x,-y,z'
'x+1/2,y+1/2,z'
'-x+1/2,-y+1/2,-z'
'-x+1/2,y+1/2,-z'
'x+1/2,-y+1/2,z'
loop_
_atom_site_label
_atom_site_fract_x
_atom_site_fract_y
_atom_site_fract_z
_atom_site_occupancy
Sm1 0.0093 0.0000 0.1884 1
Sm2 0.0402 0.5000 0.6905 1
Sm3 0.1498 0.2470 0.9980 1
Sm4 0.1637 0.2617 0.4113 1
Tl1 0.0000 0.5000 0.0000 1
Tl2 0.1903 0.0000 0.7261 1
Tl3 0.2297 0.5000 0.7531 1
Cd1 0.0000 0.1778 0.5000 1
# ρ (g/cm³): 8.44
# E (eV/atom): -3.810
# Energy of formation from the pure elements (eV per atom): -0.1103

---

Entry 4:
# ScAg3Ru PBE relaxed
data_ScAg3Ru
_chemical_formula_sum 'Sc1 Ag3 Ru1'
_space_group_name_H-M_alt 'P m -3 m'
_space_group_IT_number 221
_space_group_name_Hall '-P 4 2 3'
_cell_length_a 4.8611
_cell_length_b 4.8611
_cell_length_c 4.8611
_cell_angle_alpha 90.00
_cell_angle_beta 90.00
_cell_angle_gamma 90.00
loop_
_atom_site_label
_atom_site_fract_x
_atom_site_fract_y
_atom_site_fract_z
_atom_site_occupancy
Sc1 0.0000 0.0000 0.0000 1
Ag1 0.0000 0.0000 0.5000 1
Ru1 0.5000 0.5000 0.5000 1
# ρ (g/cm³): 6.79
# E (eV/atom): -3.249
# Energy of formation from the pure elements (eV per atom): 1.5836

---

Entry 5:
# AsOs2Pb PBE relaxed
data_AsOs2Pb
_chemical_formula_sum 'As1 Os2 Pb1'
_space_group_name_H-M_alt 'P m m m'
_space_group_IT_number 47
_cell_length_a 3.0992
_cell_length_b 4.3795
_cell_length_c 5.2620
_cell_angle_alpha 90.00
_cell_angle_beta 90.00
_cell_angle_gamma 90.00
loop_
_space_group_symop_operation_xyz
'x,y,z'
'-x,-y,-z'
'-x,-y,z'
'x,y,-z'
'x,-y,-z'
'-x,y,z'
'-x,y,-z'
'x,-y,z'
loop_
_atom_site_label
_atom_site_fract_x
_atom_site_fract_y
_atom_site_fract_z
_atom_site_occupancy
As1 0.0000 0.0000 0.0000 1
Os1 0.0000 0.5000 0.5000 1
Os2 0.5000 0.5000 0.0000 1
Pb1 0.5000 0.0000 0.5000 1
# ρ (g/cm³): 15.41
# E (eV/atom): -6.596
# Energy of formation from the pure elements (eV per atom): 1.1088

---

Entry 6:
# HfGa2SbAs PBE relaxed
data_HfGa2SbAs
_chemical_formula_sum 'Hf1 Ga2 Sb1 As1'
_space_group_name_H-M_alt 'P 4/m m m'
_space_group_IT_number 123
_space_group_name_Hall '-P 4 2'
_cell_length_a 5.2522
_cell_length_b 5.2522
_cell_length_c 5.0906
_cell_angle_alpha 90.00
_cell_angle_beta 90.00
_cell_angle_gamma 90.00
loop_
_atom_site_label
_atom_site_fract_x
_atom_site_fract_y
_atom_site_fract_z
_atom_site_occupancy
Hf1 0.0000 0.0000 0.0000 1
Ga1 0.0000 0.5000 0.0000 1
Sb1 0.5000 0.5000 0.5000 1
As1 0.0000 0.0000 0.5000 1
# ρ (g/cm³): 6.09
# E (eV/atom): -4.510
# E_form (uncorrected) (meV per atom): 446

---

Question: ρ of number 5 (AsOs2Pb)?
Answer: 15.41 g/cm³

---

Question: E of number 3 (Sm12Tl5Cd2)?
Answer: -3.810 eV/atom

---

Question: The highest E belongs to which entry?
Answer: ScAg3Ru